(1)
A plane-wave DFT calculation with PBE-GGA was carried out for a geometry-optimized TbNd2Dy4Tm2 structure.

a b c (Å): 6.8018 9.8765 6.6049
angles (deg): 121.25 126.91 59.27
With the nearest neighbours (Å) after each atom.
Fractional positions:
Tb: 0.0000 0.0000 0.0000  4 Dy 3.32-3.56, 2 Nd 3.46
Nd: 0.2691 0.6574 0.6017  5 Dy 3.39-3.72, 1 Tb 3.46, 4 Tm 3.46-3.52, 1 Nd 3.48
Nd: 0.7309 0.3426 0.3983  5 Dy 3.39-3.72, 1 Tb 3.46, 4 Tm 3.46-3.52, 1 Nd 3.48
Dy: 0.7397 0.8850 0.2016  4 Dy 3.34-3.73, 2 Nd 3.39-3.72, 2 Tm 3.52-3.71, 1 Tb 3.56
Dy: 0.6188 0.7607 0.5072  1 Tb 3.32, 3 Tm 3.42-3.52, 2 Dy 3.44, 3 Nd 3.47-3.71
Dy: 0.2603 0.1150 0.7984  4 Dy 3.34-3.73, 2 Nd 3.39-3.72, 2 Tm 3.52-3.71, 1 Tb 3.56
Dy: 0.3812 0.2393 0.4928  1 Tb 3.32, 3 Tm 3.42-3.52, 2 Dy 3.44, 3 Nd 3.47-3.71
Tm: 0.8214 0.4448 0.0357  5 Dy 3.42-3.71, 2 Tm 3.45-3.70, 4 Nd 3.46-3.52, 1 Tb 3.83
Tm: 0.1786 0.5552 0.9643  5 Dy 3.42-3.71, 2 Tm 3.45-3.70, 4 Nd 3.46-3.52, 1 Tb 3.83

- energy of formation (eV/atom) = 0.083
- space-group type = No. 2

***

(2)
A plane-wave DFT calculation with PBE-GGA was carried out for a geometry-optimized SmTc3Ge3 structure.

a b c (Å): 6.4128 6.4128 8.3805
angles (deg): 67.51 67.51 60.00
With the nearest neighbours (Å) after each atom.
Fractional positions:
Sm: 0.3218 0.3218 0.0346  6 Ge 3.02-3.06, 3 Tc 3.26
Sm: 0.6782 0.6782 0.9654  6 Ge 3.02-3.06, 3 Tc 3.26
Tc: 0.5625 0.7817 0.5891  3 Tc 2.49-2.70, 4 Ge 2.56-2.74
Tc: 0.7817 0.0667 0.5891  3 Tc 2.49-2.70, 4 Ge 2.56-2.74
Tc: 0.0667 0.5625 0.5891  3 Tc 2.49-2.70, 4 Ge 2.56-2.74
Tc: 0.9333 0.4375 0.4109  3 Tc 2.49-2.70, 4 Ge 2.56-2.74
Tc: 0.2183 0.9333 0.4109  3 Tc 2.49-2.70, 4 Ge 2.56-2.74
Tc: 0.4375 0.2183 0.4109  3 Tc 2.49-2.70, 4 Ge 2.56-2.74
Ge: 0.1986 0.6970 0.2346  4 Tc 2.56-2.74, 2 Ge 2.83
Ge: 0.8698 0.1986 0.2346  4 Tc 2.56-2.74, 2 Ge 2.83
Ge: 0.6970 0.8698 0.2346  4 Tc 2.56-2.74, 2 Ge 2.83
Ge: 0.3030 0.1302 0.7654  4 Tc 2.56-2.74, 2 Ge 2.83
Ge: 0.1302 0.8014 0.7654  4 Tc 2.56-2.74, 2 Ge 2.83
Ge: 0.8014 0.3030 0.7654  4 Tc 2.56-2.74, 2 Ge 2.83

- offset from the most stable computed form (meV/atom) = 0
- energy of formation (eV/atom) = -0.098
- space-group type = No. 148

***

(3)
A plane-wave DFT calculation with PBE-GGA was carried out for a geometry-optimized Ac6Si2PdI3 structure.

a b c (Å): 4.5053 9.8985 10.6951
angles (deg): 106.47 102.16 90.00
With the nearest neighbours (Å) after each atom.
Fractional positions:
Ac: 0.3446 0.8871 0.6892  2 Si 3.11, 1 Pd 3.12
Ac: 0.6776 0.5559 0.3553  3 Si 3.10-3.13
Ac: 0.6554 0.1129 0.3108  2 Si 3.11, 1 Pd 3.12
Ac: 0.0111 0.2173 0.0223  2 Pd 3.08, 1 Si 3.11
Ac: 0.9889 0.7827 0.9777  2 Pd 3.08, 1 Si 3.11
Ac: 0.3224 0.4441 0.6447  3 Si 3.10-3.13
Si: 0.8338 0.6652 0.6676  6 Ac 3.10-3.13
Si: 0.1662 0.3348 0.3324  6 Ac 3.10-3.13
Pd: 0.5000 0.0000 0.0000  6 Ac 3.08-3.12
I: 0.5000 0.5000 0.0000  6 Ac 3.59-3.65
I: 0.8298 0.1684 0.6597  6 Ac 3.53-3.68
I: 0.1702 0.8316 0.3403  6 Ac 3.53-3.68

- ΔE_f (raw) (kJ/mol of formula units) = -1047
- space-group type = No. 12

***

(4)
A plane-wave DFT calculation with PBE-GGA was carried out for a geometry-optimized Tm8Ge3Te4P structure.

a b c (Å): 8.3235 8.4751 8.3235
angles (deg): 119.41 120.00 90.00
With the nearest neighbours (Å) after each atom.
Fractional positions:
Tm: 0.2380 0.7151 0.9771  1 P 2.83, 2 Ge 2.84, 3 Te 3.12
Tm: 0.2380 0.7151 0.4759  1 P 2.83, 2 Ge 2.84, 3 Te 3.12
Tm: 0.2605 0.2814 0.5209  3 Ge 2.85, 3 Te 3.10
Tm: 0.7392 0.7151 0.9771  1 P 2.83, 2 Ge 2.84, 3 Te 3.12
Tm: 0.2608 0.2849 0.0229  1 P 2.83, 2 Ge 2.84, 3 Te 3.12
Tm: 0.7395 0.7186 0.4791  3 Ge 2.85, 3 Te 3.10
Tm: 0.7620 0.2849 0.5241  1 P 2.83, 2 Ge 2.84, 3 Te 3.12
Tm: 0.7620 0.2849 0.0229  1 P 2.83, 2 Ge 2.84, 3 Te 3.12
Ge: 0.5000 0.5000 0.0000  6 Tm 2.84-2.85
Ge: 0.5000 0.5000 0.5000  6 Tm 2.84-2.85
Ge: 0.0000 0.5000 0.5000  6 Tm 2.84-2.85
Te: 0.5000 0.0000 0.0000  6 Tm 3.12
Te: 0.5000 0.0000 0.5000  6 Tm 3.10-3.12
Te: 0.0000 0.0000 0.0000  6 Tm 3.10-3.12
Te: 0.0000 0.0000 0.5000  6 Tm 3.10-3.12
P: 0.0000 0.5000 0.0000  6 Tm 2.83

- ΔE_f (raw) (kJ/mol of formula units) = -1909
- space-group type = No. 166

***

no.,ρ (Mg/m³),raw total energy (eV per atom)
1,8.215,-4.530
2,8.214,-7.194
3,7.090,-4.682
4,8.369,-5.462